[1]
DFT (GGA-PBE) results for a relaxed RbFe crystal.

Calculated values
total moment	3.0	μB/cell
ρ	2.55	g/cm3
total energy	-2.94	eV/atom

abc: 5.066 5.066 5.066
angles: 60.00 60.00 60.00
Atoms (fractional coordinates):
Rb 0.000 0.000 0.000
Fe 0.500 0.500 0.500

***

[2]
DFT (GGA-PBE) results for a relaxed RbFe crystal.

Calculated values
total moment	3.1	μB/cell
ρ	3.80	g/cm3
total energy	-3.15	eV/atom

abc: 5.394 3.387 3.387
angles: 86.46 90.00 90.00
Atoms (fractional coordinates):
Rb 0.000 0.000 0.000
Fe 0.500 0.495 0.495

***

[3]
DFT (GGA-PBE) results for a relaxed Rb3Fe crystal.

Calculated values
total moment	3.0	μB/cell
ρ	2.42	g/cm3
total energy	-1.99	eV/atom

abc: 6.721 6.721 6.721
angles: 60.00 60.00 60.00
Atoms (fractional coordinates):
Rb 0.000 0.000 0.000
Rb 0.250 0.250 0.250
Rb 0.750 0.750 0.750
Fe 0.500 0.500 0.500